Below is V2AgMoF after structural relaxation, with properties calculated at the GGA+U level.

Its calculated total energy is -0.1323 hartree per atom. The calculation puts the total magnetic moment at 1.7639 μB per atom.

It has space group P4/mmm (No. 123), with a = 5.3037 Å, b = 5.3037 Å, c = 4.0724 Å, α = 90.00°, β = 90.00° and γ = 90.00°. Symmetry generates all atoms from V at (0.0000, 0.5000, 0.0000), Ag at (0.0000, 0.0000, 0.0000), Mo at (0.5000, 0.5000, 0.5000) and F at (0.0000, 0.0000, 0.5000).